# Mn21Ga2N6 (PBE, relaxed)
data_Mn21Ga2N6
_cell_length_a 10.4695
_cell_length_b 10.4695
_cell_length_c 10.4695
_cell_angle_alpha 90.00
_cell_angle_beta 90.00
_cell_angle_gamma 90.00
_space_group_name_H-M_alt 'F m -3 m'
_space_group_IT_number 225
_space_group_name_Hall '-F 4 2 3'
loop_
_atom_site_label
_atom_site_fract_x
_atom_site_fract_y
_atom_site_fract_z
Mn1 0.0000 0.0000 0.0000
Mn2 0.0000 0.1655 0.1655
Mn3 0.1139 0.1139 0.3861
Ga1 0.2500 0.2500 0.2500
N1 0.0000 0.0000 0.2723
# - Calculated total energy: -999.57 eV for the cell shown
# - Raw formation energy: -46 meV per atom


# Mn8Ga2N (PBE, relaxed)
data_Mn8Ga2N
_cell_length_a 3.5519
_cell_length_b 3.5519
_cell_length_c 10.1347
_cell_angle_alpha 90.00
_cell_angle_beta 90.00
_cell_angle_gamma 90.00
_space_group_name_H-M_alt 'P 4/m m m'
_space_group_IT_number 123
_space_group_name_Hall '-P 4 2'
loop_
_atom_site_label
_atom_site_fract_x
_atom_site_fract_y
_atom_site_fract_z
Mn1 0.0000 0.0000 0.1964
Mn2 0.0000 0.5000 0.0000
Mn3 0.0000 0.5000 0.3848
Ga1 0.5000 0.5000 0.1876
N1 0.5000 0.5000 0.5000
# - Calculated total energy: -86.90 eV for the cell shown
# - Raw formation energy: 76 meV per atom


# MnGa2N3 (PBE, relaxed)
data_MnGa2N3
_cell_length_a 9.8209
_cell_length_b 5.5815
_cell_length_c 5.1933
_cell_angle_alpha 90.00
_cell_angle_beta 90.00
_cell_angle_gamma 90.00
_space_group_name_H-M_alt 'C m c 21'
_space_group_IT_number 36
_space_group_name_Hall 'C 2c -2'
loop_
_atom_site_label
_atom_site_fract_x
_atom_site_fract_y
_atom_site_fract_z
Mn1 0.0000 0.1565 0.0000
Ga1 0.1687 0.3375 0.5000
N1 0.0000 0.1759 0.3714
N2 0.1687 0.3305 0.8781
# - Calculated total energy: -166.80 eV for the cell shown
# - Raw formation energy: -250 meV per atom


# Mn4GaN (PBE, relaxed)
data_Mn4GaN
_cell_length_a 5.0787
_cell_length_b 8.6408
_cell_length_c 6.2358
_cell_angle_alpha 90.00
_cell_angle_beta 100.79
_cell_angle_gamma 90.00
_space_group_name_H-M_alt 'C 1 2/c 1'
_space_group_IT_number 15
_space_group_name_Hall '-C 2yc'
loop_
_atom_site_label
_atom_site_fract_x
_atom_site_fract_y
_atom_site_fract_z
Mn1 0.1009 0.1326 0.4619
Mn2 0.1596 0.3746 0.1395
Ga1 0.0000 0.3538 0.7500
N1 0.0000 0.0347 0.7500
# - Calculated total energy: -193.10 eV for the cell shown
# - Raw formation energy: -41 meV per atom